! GGA-PBE Ca2Sn3Pd2, optimized geometry; values from VASP
&SYSTEM
  ibrav = 0, nat = 7, ntyp = 3
/
ATOMIC_SPECIES
Ca 40.08 Ca.upf
Sn 118.71 Sn.upf
Pd 106.42 Pd.upf
CELL_PARAMETERS angstrom
5.4613 -2.2267 0.0000
5.4613 2.2267 0.0000
-3.1302 0.0000 6.8018
ATOMIC_POSITIONS angstrom
Ca 0.7173 0.0000 1.9775
Ca 7.0751 0.0000 4.8243
Sn 3.9486 0.0000 0.3163
Sn 3.8962 0.0000 3.4009
Sn 3.8437 0.0000 6.4856
Pd -0.7991 0.0000 4.8912
Pd 8.5914 0.0000 1.9107
! Energy of formation from the pure elements, kJ/mol of formula units: -448
! SG: No. 12

=====

! GGA-PBE V3RuN, optimized geometry; values from VASP
&SYSTEM
  ibrav = 0, nat = 5, ntyp = 3
/
ATOMIC_SPECIES
V 50.94 V.upf
Ru 101.07 Ru.upf
N 14.01 N.upf
CELL_PARAMETERS angstrom
4.5923 0.0000 0.0000
0.0000 4.5923 0.0000
0.0000 0.0000 4.5923
ATOMIC_POSITIONS angstrom
V 0.0000 0.0000 2.2961
V 0.0000 2.2961 0.0000
V 2.2961 0.0000 0.0000
Ru 0.0000 0.0000 0.0000
N 2.2961 2.2961 2.2961
! Formation energy (no corrections), eV/atom: 1.96
! SG: No. 221

=====

! GGA-PBE TcO3, optimized geometry; values from VASP
&SYSTEM
  ibrav = 0, nat = 4, ntyp = 2
/
ATOMIC_SPECIES
Tc 98.00 Tc.upf
O 16.00 O.upf
CELL_PARAMETERS angstrom
3.7843 0.0000 0.0000
0.0000 3.7843 0.0000
0.0000 0.0000 3.7843
ATOMIC_POSITIONS angstrom
Tc 0.0000 0.0000 0.0000
O 0.0000 0.0000 1.8922
O 0.0000 1.8922 0.0000
O 1.8922 0.0000 0.0000
! Energy above the lowest structure with this stoichiometry, meV/atom: 0.0
! Formation energy (no corrections), eV/atom: -1.30
! SG: No. 221

=====

! GGA-PBE Tm4AlRh5, optimized geometry; values from VASP
&SYSTEM
  ibrav = 0, nat = 10, ntyp = 3
/
ATOMIC_SPECIES
Tm 168.93 Tm.upf
Al 26.98 Al.upf
Rh 102.91 Rh.upf
CELL_PARAMETERS angstrom
3.2898 0.0000 0.0000
0.0000 3.2898 0.0000
0.0000 0.0000 16.7221
ATOMIC_POSITIONS angstrom
Tm 0.0000 0.0000 1.7407
Tm 0.0000 0.0000 5.2206
Tm 0.0000 0.0000 11.5014
Tm 0.0000 0.0000 14.9813
Al 0.0000 0.0000 8.3610
Rh 1.6449 1.6449 0.0000
Rh 1.6449 1.6449 3.4782
Rh 1.6449 1.6449 6.9609
Rh 1.6449 1.6449 9.7611
Rh 1.6449 1.6449 13.2438
! Energy of formation from the pure elements, kJ/mol of formula units: -909
! SG: No. 123

=====

! GGA-PBE Fe2CoC, optimized geometry; values from VASP
&SYSTEM
  ibrav = 0, nat = 4, ntyp = 3
/
ATOMIC_SPECIES
Fe 55.84 Fe.upf
Co 58.93 Co.upf
C 12.01 C.upf
CELL_PARAMETERS angstrom
1.3564 0.7831 6.8635
-1.3564 0.7831 6.8635
0.0000 -1.5663 6.8635
ATOMIC_POSITIONS angstrom
Fe 0.0000 0.0000 2.3439
Fe 0.0000 0.0000 18.2465
Co 0.0000 0.0000 0.0000
C 0.0000 0.0000 10.2952
! Energy of formation from the pure elements, kJ/mol of formula units: 181
! SG: No. 166

=====

! GGA-PBE KLiCl, optimized geometry; values from VASP
&SYSTEM
  ibrav = 0, nat = 3, ntyp = 3
/
ATOMIC_SPECIES
K 39.10 K.upf
Li 6.94 Li.upf
Cl 35.45 Cl.upf
CELL_PARAMETERS angstrom
-1.7926 1.7926 6.7939
1.7926 -1.7926 6.7939
1.7926 1.7926 -6.7939
ATOMIC_POSITIONS angstrom
K 0.0000 0.0000 0.0000
Li 0.0000 0.0000 3.4377
Cl 0.0000 0.0000 9.0040
! Energy above the lowest structure with this stoichiometry, meV/atom: 148.9
! Formation energy (no corrections), eV/atom: -0.99
! SG: No. 107

=====

! GGA-PBE Y6Zn2Pb, optimized geometry; values from VASP
&SYSTEM
  ibrav = 0, nat = 18, ntyp = 3
/
ATOMIC_SPECIES
Y 88.91 Y.upf
Zn 65.41 Zn.upf
Pb 207.20 Pb.upf
CELL_PARAMETERS angstrom
-4.7342 4.8842 5.4557
4.7342 -4.8842 5.4557
4.7342 4.8842 -5.4557
ATOMIC_POSITIONS angstrom
Y 4.7342 2.9125 -2.9439
Y 2.7348 1.8624 0.0000
Y 6.7336 1.8624 0.0000
Y 1.8549 4.8842 -1.9840
Y 2.8794 0.0000 3.4718
Y 0.0000 1.9718 2.5118
Y 4.7342 2.9125 2.9439
Y 1.8549 4.8842 1.9840
Y 2.8794 0.0000 7.4397
Y -1.9994 3.0218 5.4557
Y 1.9994 3.0218 5.4557
Y 0.0000 1.9718 8.3997
Zn 4.7342 0.0000 1.2715
Zn 0.0000 3.4687 0.0000
Zn 0.0000 6.2998 0.0000
Zn 0.0000 4.8842 4.1842
Pb 0.0000 0.0000 0.0000
Pb 0.0000 0.0000 5.4557
! Energy of formation from the pure elements, kJ/mol of formula units: -254
! SG: No. 71

=====

! GGA-PBE ThGa4NiIr2, optimized geometry; values from VASP
&SYSTEM
  ibrav = 0, nat = 8, ntyp = 4
/
ATOMIC_SPECIES
Th 232.04 Th.upf
Ga 69.72 Ga.upf
Ni 58.69 Ni.upf
Ir 192.22 Ir.upf
CELL_PARAMETERS angstrom
2.1362 1.2333 8.5650
-2.1362 1.2333 8.5650
0.0000 -2.4667 8.5650
ATOMIC_POSITIONS angstrom
Th 0.0000 0.0000 0.0000
Ga 0.0000 0.0000 3.4028
Ga 0.0000 0.0000 10.3408
Ga 0.0000 0.0000 15.3542
Ga 0.0000 0.0000 22.2922
Ni 0.0000 0.0000 12.8475
Ir 0.0000 0.0000 5.9897
Ir 0.0000 0.0000 19.7053
! Energy of formation from the pure elements, kJ/mol of formula units: -401
! SG: No. 166

=====

What did the eighth record say?
! GGA-PBE ThGa4NiIr2, optimized geometry; values from VASP
&SYSTEM
  ibrav = 0, nat = 8, ntyp = 4
/
ATOMIC_SPECIES
Th 232.04 Th.upf
Ga 69.72 Ga.upf
Ni 58.69 Ni.upf
Ir 192.22 Ir.upf
CELL_PARAMETERS angstrom
2.1362 1.2333 8.5650
-2.1362 1.2333 8.5650
0.0000 -2.4667 8.5650
ATOMIC_POSITIONS angstrom
Th 0.0000 0.0000 0.0000
Ga 0.0000 0.0000 3.4028
Ga 0.0000 0.0000 10.3408
Ga 0.0000 0.0000 15.3542
Ga 0.0000 0.0000 22.2922
Ni 0.0000 0.0000 12.8475
Ir 0.0000 0.0000 5.9897
Ir 0.0000 0.0000 19.7053
! Energy of formation from the pure elements, kJ/mol of formula units: -401
! SG: No. 166